# 1
Compound: Cu2TcIr
Source: Alexandria via LeMat-Bulk
Functional: PBE
Structure: relaxed

* polymorph energy (0 for the lowest one): 45.6 meV per atom
* VASP energy: -6.775 eV per atom
* crystal system: trigonal
* formation energy: 0.3 eV/f.u.
* total moment: 0.000 μB/atom

a = 8.631 Å, b = 8.631 Å, c = 8.631 Å
α = 18.16°, β = 18.16°, γ = 18.16°
Sites, in units of the cell vectors:
Cu 0.000 0.000 0.000
Cu 0.255 0.255 0.255
Tc 0.502 0.502 0.502
Ir 0.753 0.753 0.753

***

# 2
Compound: KCr4Ag
Source: Alexandria via LeMat-Bulk
Functional: PBE
Structure: relaxed

* VASP energy: -5.845 eV per atom
* crystal system: cubic
* formation energy: 7.4 eV/f.u.
* total moment: 0.000 μB/atom

a = 5.140 Å, b = 5.140 Å, c = 5.140 Å
α = 60.00°, β = 60.00°, γ = 60.00°
Sites, in units of the cell vectors:
K 0.000 0.000 0.000
Cr 0.365 0.365 0.365
Cr 0.365 0.365 0.905
Cr 0.365 0.905 0.365
Cr 0.905 0.365 0.365
Ag 0.750 0.750 0.750

***

# 3
Compound: Pm2Al5Cu4
Source: Alexandria via LeMat-Bulk
Functional: PBE
Structure: relaxed

* VASP energy: -4.407 eV per atom
* crystal system: orthorhombic
* formation energy: -3.9 eV/f.u.
* total moment: 0.000 μB/atom

a = 8.866 Å, b = 7.967 Å, c = 5.530 Å
α = 79.90°, β = 62.22°, γ = 37.88°
Sites, in units of the cell vectors:
Pm 0.134 0.134 0.866
Pm 0.866 0.866 0.134
Al 0.000 0.000 0.500
Al 0.250 0.250 0.250
Al 0.500 0.500 0.000
Al 0.500 0.500 0.500
Al 0.750 0.750 0.750
Cu 0.223 0.507 0.493
Cu 0.493 0.777 0.223
Cu 0.507 0.223 0.777
Cu 0.777 0.493 0.507

***

# 4
Compound: Sr2TlInCl8
Source: Alexandria via LeMat-Bulk
Functional: PBE
Structure: relaxed

* VASP energy: -3.675 eV per atom
* formation energy (no corrections): -1.738 eV/atom
* crystal system: monoclinic
* total moment: 0.000 μB/atom

a = 6.467 Å, b = 9.033 Å, c = 6.689 Å
α = 90.00°, β = 90.26°, γ = 90.00°
Sites, in units of the cell vectors:
Sr 0.000 0.246 0.000
Sr 0.000 0.754 0.000
Tl 0.500 0.500 0.500
In 0.500 0.000 0.500
Cl 0.228 0.500 0.871
Cl 0.251 0.000 0.817
Cl 0.278 0.201 0.347
Cl 0.278 0.799 0.347
Cl 0.722 0.201 0.653
Cl 0.722 0.799 0.653
Cl 0.749 0.000 0.183
Cl 0.772 0.500 0.129